--- P ---
NbGaCoAu, optimized geometry, DFT PBE-GGA; theoretical density = 11.5 g/cm³
1.0
-3.0689 -3.0366 0.8634
-4.1448 1.2325 0.8281
-3.1709 -0.8235 -2.9413
Co Nb Ga Au
1 1 1 1
direct
0.5000 0.5000 0.5000
0.2500 0.2500 0.2500
0.0000 0.0000 0.0000
0.7500 0.7500 0.7500



--- Q ---
NbGaCoAu, optimized geometry, DFT PBE-GGA; theoretical density = 11.1 g/cm³
1.0
0.0000 3.1530 3.1530
3.1530 0.0000 3.1530
3.1530 3.1530 0.0000
Co Nb Au Ga
1 1 1 1
direct
0.7500 0.7500 0.7500
0.5000 0.5000 0.5000
0.2500 0.2500 0.2500
0.0000 0.0000 0.0000



Last place for stability: Q



--- P ---
SmZnNO, optimized geometry, DFT PBE-GGA; theoretical density = 7.5 g/cm³
1.0
-3.8341 -1.2487 2.7868
-0.0879 -4.4261 -2.1042
2.8143 -1.5636 3.1714
O Sm Zn N
2 2 2 2
direct
0.7500 0.2500 0.0000
0.2500 0.7500 0.0000
0.7500 0.2500 0.5000
0.2500 0.7500 0.5000
0.7500 0.7500 0.0038
0.2500 0.2500 0.9962
0.7500 0.7500 0.4976
0.2500 0.2500 0.5024



--- Q ---
SmZnNO, optimized geometry, DFT PBE-GGA; theoretical density = 7.4 g/cm³
1.0
-0.8686 -2.4474 2.6718
3.3018 -1.6662 -0.4528
3.1634 4.7955 5.4213
O N Zn Sm
2 2 2 2
direct
0.7500 0.2500 0.0000
0.2500 0.7500 0.0000
0.2500 0.2500 0.6383
0.7500 0.7500 0.3617
0.7500 0.2500 0.5000
0.2500 0.7500 0.5000
0.2500 0.2500 0.1589
0.7500 0.7500 0.8411



Last place for stability: P



--- P ---
LiHgPO, optimized geometry, DFT PBE-GGA; theoretical density = 6.8 g/cm³
1.0
3.6994 0.0000 0.0000
0.0000 7.3262 0.0000
0.0000 0.0000 4.6055
Hg P O Li
2 2 2 2
direct
0.0000 0.1988 0.4397
0.0000 0.8012 0.9397
0.5000 0.4481 0.4332
0.5000 0.5519 0.9332
0.0000 0.1162 0.9382
0.0000 0.8838 0.4382
0.5000 0.1773 0.9428
0.5000 0.8227 0.4428



--- Q ---
LiHgPO, optimized geometry, DFT PBE-GGA; theoretical density = 6.3 g/cm³
1.0
-0.5389 -0.1181 3.1959
-4.8982 -5.4312 -1.0265
4.0736 -3.7773 0.5473
O P Hg Li
2 2 2 2
direct
0.5000 0.3889 0.3791
0.5000 0.6111 0.8791
0.0000 0.1397 0.9012
0.0000 0.8603 0.4012
0.0000 0.1861 0.4166
0.0000 0.8139 0.9166
0.5000 0.5870 0.5571
0.5000 0.4130 0.0571



Last place for stability: Q



--- P ---
LaGdNO, optimized geometry, DFT PBE-GGA; theoretical density = 7.2 g/cm³
1.0
-2.0610 -3.5698 0.0000
0.0000 0.0000 5.0919
-6.1814 3.5688 0.0000
Gd La O N
2 2 2 2
direct
0.0000 0.9386 0.6638
0.0000 0.4386 0.3362
0.5000 0.9386 0.1660
0.5000 0.4386 0.8340
0.5000 0.9390 0.8057
0.5000 0.4390 0.1943
0.0000 0.4378 0.6559
0.0000 0.9378 0.3441



--- Q ---
LaGdNO, optimized geometry, DFT PBE-GGA; theoretical density = 7.2 g/cm³
1.0
4.3058 0.0000 0.0000
0.0000 4.3058 0.0000
0.0000 0.0000 8.0639
O N La Gd
2 2 2 2
direct
0.2500 0.7500 0.0000
0.7500 0.2500 0.0000
0.7500 0.7500 0.3459
0.2500 0.2500 0.6541
0.7500 0.2500 0.5000
0.2500 0.7500 0.5000
0.2500 0.2500 0.1028
0.7500 0.7500 0.8972



Last place for stability: Q



--- P ---
KNdNiTe3, optimized geometry, DFT PBE-GGA; theoretical density = 5.0 g/cm³
1.0
9.7503 0.0000 0.0000
0.0000 4.3532 0.0000
-3.2365 0.0000 9.6877
Te Nd Ni K
6 2 2 2
direct
0.8319 0.2500 0.9731
0.9126 0.7500 0.6390
0.0874 0.2500 0.3610
0.1681 0.7500 0.0269
0.4607 0.7500 0.6810
0.5393 0.2500 0.3190
0.3194 0.7500 0.3589
0.6806 0.2500 0.6411
0.0965 0.2500 0.1150
0.9035 0.7500 0.8850
0.7866 0.7500 0.2470
0.2134 0.2500 0.7530



--- Q ---
KNdNiTe3, optimized geometry, DFT PBE-GGA; theoretical density = 5.1 g/cm³
1.0
4.3072 0.0000 0.0000
2.1536 8.5000 0.0000
0.0000 0.0000 11.0711
Te Ni K Nd
6 2 2 2
direct
0.6217 0.7567 0.0957
0.3783 0.2433 0.5957
0.3783 0.2433 0.9043
0.0820 0.8361 0.7500
0.9180 0.1639 0.2500
0.6217 0.7567 0.4043
0.4905 0.0190 0.7500
0.5095 0.9810 0.2500
0.7440 0.5120 0.7500
0.2560 0.4880 0.2500
0.0000 0.0000 0.0000
0.0000 0.0000 0.5000



Last place for stability: Q



--- P ---
SrLuNO, optimized geometry, DFT PBE-GGA; theoretical density = 6.5 g/cm³
1.0
-3.1759 0.3222 2.1788
1.5233 -4.6006 2.9008
3.4206 3.9116 4.4074
O Sr Lu N
2 2 2 2
direct
0.5000 0.9239 0.8069
0.5000 0.4239 0.1931
0.5000 0.4789 0.8269
0.5000 0.9789 0.1731
0.0000 0.4868 0.3428
0.0000 0.9868 0.6572
0.0000 0.8644 0.3605
0.0000 0.3644 0.6395



--- Q ---
SrLuNO, optimized geometry, DFT PBE-GGA; theoretical density = 6.8 g/cm³
1.0
-3.0430 0.8113 -6.2380
4.0036 -6.5200 -2.8010
-3.7684 -2.9394 1.4560
Sr O Lu N
4 4 4 4
direct
0.0825 0.8650 0.0434
0.9175 0.1350 0.5434
0.4175 0.8650 0.5434
0.5825 0.1350 0.0434
0.5594 0.1474 0.5489
0.9406 0.1474 0.0489
0.0594 0.8526 0.5489
0.4406 0.8526 0.0489
0.4116 0.3864 0.5348
0.9116 0.6136 0.5348
0.0884 0.3864 0.0348
0.5884 0.6136 0.0348
0.5964 0.6050 0.5753
0.9036 0.6050 0.0753
0.0964 0.3950 0.5753
0.4036 0.3950 0.0753



Last place for stability: P



--- P ---
SnTePtO, optimized geometry, DFT PBE-GGA; theoretical density = 9.0 g/cm³
1.0
7.0746 0.0000 0.0000
0.0000 4.7754 0.0000
0.0000 0.0000 9.9965
Sn Te Pt O
4 4 4 4
direct
0.4100 0.9520 0.1095
0.9100 0.5480 0.8905
0.5900 0.4520 0.3905
0.0900 0.0480 0.6095
0.3949 0.5945 0.7959
0.1051 0.4055 0.2959
0.8949 0.9055 0.2041
0.6051 0.0945 0.7041
0.5604 0.4735 0.0129
0.0604 0.0265 0.9871
0.4396 0.9735 0.4871
0.9396 0.5265 0.5129
0.1226 0.2385 0.8037
0.3774 0.7615 0.3037
0.6226 0.2615 0.1963
0.8774 0.7385 0.6963



--- Q ---
SnTePtO, optimized geometry, DFT PBE-GGA; theoretical density = 9.2 g/cm³
1.0
-1.6602 -3.0581 -2.6688
3.8620 -2.0772 -0.0223
-2.4578 -4.6431 6.8492
Pt Sn Te O
2 2 2 2
direct
0.2500 0.2500 0.4751
0.7500 0.7500 0.5249
0.2500 0.2500 0.7913
0.7500 0.7500 0.2087
0.7500 0.7500 0.8450
0.2500 0.2500 0.1550
0.7500 0.2500 0.5000
0.2500 0.7500 0.5000



Last place for stability: Q



--- P ---
HgPtNO, optimized geometry, DFT PBE-GGA; theoretical density = 10.9 g/cm³
1.0
-1.0284 -0.0069 3.2160
-0.5630 -6.0741 -0.1930
5.9403 -0.6109 1.8983
Hg O Pt N
2 2 2 2
direct
0.0000 0.6728 0.4695
0.0000 0.3272 0.9695
0.5000 0.1322 0.1812
0.5000 0.8678 0.6812
0.5000 0.8280 0.0042
0.5000 0.1720 0.5042
0.0000 0.6954 0.0911
0.0000 0.3046 0.5911



--- Q ---
HgPtNO, optimized geometry, DFT PBE-GGA; theoretical density = 11.9 g/cm³
1.0
-2.8032 1.6340 -2.1896
-0.8944 3.8849 4.0441
3.6427 3.2042 -2.2724
Pt Hg N O
2 2 2 2
direct
0.0000 0.5456 0.4708
0.0000 0.0456 0.5292
0.5000 0.3754 0.9580
0.5000 0.8754 0.0420
0.0000 0.3212 0.7685
0.0000 0.8212 0.2315
0.5000 0.0118 0.6069
0.5000 0.5118 0.3931



Last place for stability: P



--- P ---
HoGeAsO, optimized geometry, DFT PBE-GGA; theoretical density = 7.4 g/cm³
1.0
4.1936 0.0000 0.0000
0.0000 5.7819 0.0000
0.0000 0.0000 6.0804
Ho O As Ge
2 2 2 2
direct
0.5000 0.7414 0.0880
0.5000 0.2586 0.5880
0.5000 0.0763 0.9078
0.5000 0.9237 0.4078
0.0000 0.4281 0.2882
0.0000 0.5719 0.7882
0.0000 0.8715 0.4700
0.0000 0.1285 0.9700



--- Q ---
HoGeAsO, optimized geometry, DFT PBE-GGA; theoretical density = 7.3 g/cm³
1.0
-2.9212 -2.5838 -0.7582
1.9186 -2.7821 2.0889
-4.5322 2.8058 7.8996
Ge As O Ho
2 2 2 2
direct
0.0000 0.0000 0.5000
0.5000 0.5000 0.5000
0.0000 0.5000 0.2910
0.5000 0.0000 0.7090
0.0000 0.0000 0.0000
0.5000 0.5000 0.0000
0.0000 0.5000 0.8897
0.5000 0.0000 0.1103



Last place for stability: P



--- P ---
NdSm2, optimized geometry, DFT PBE-GGA; theoretical density = 6.2 g/cm³
1.0
-5.0002 0.4632 2.2935
-4.4100 0.9895 -3.1701
-3.7751 -3.9502 -0.7883
Nd Sm
1 2
direct
0.0000 0.0000 0.0000
0.7500 0.7500 0.7500
0.2500 0.2500 0.2500



--- Q ---
NdSm2, optimized geometry, DFT PBE-GGA; theoretical density = 2.8 g/cm³
1.0
4.5475 2.6255 7.4260
-4.5475 2.6255 7.4260
0.0000 -5.2510 7.4260
Nd Sm
2 4
direct
0.5000 0.5000 0.5000
0.2500 0.2500 0.2500
0.3750 0.3750 0.3750
0.8750 0.3750 0.3750
0.3750 0.8750 0.3750
0.3750 0.3750 0.8750



Last place for stability: Q



--- P ---
YErNCl3, optimized geometry, DFT PBE-GGA; theoretical density = 4.5 g/cm³
1.0
0.1055 5.1087 6.3934
-3.2856 3.3673 6.6972
4.8460 -9.3085 0.7356
Y Cl N Er
2 6 2 2
direct
0.8637 0.8637 0.2071
0.1363 0.1363 0.7929
0.3360 0.3360 0.9843
0.2217 0.2217 0.6109
0.7783 0.7783 0.3891
0.0512 0.0512 0.2484
0.9488 0.9488 0.7516
0.6640 0.6640 0.0157
0.5752 0.5752 0.6561
0.4248 0.4248 0.3439
0.5854 0.5854 0.4536
0.4146 0.4146 0.5464



--- Q ---
YErNCl3, optimized geometry, DFT PBE-GGA; theoretical density = 4.6 g/cm³
1.0
-4.6347 6.1903 -2.6204
-5.3338 6.0785 1.1264
10.1879 1.6052 1.9488
N Er Cl Y
2 2 6 2
direct
0.5770 0.5770 0.1591
0.4230 0.4230 0.8409
0.1366 0.1366 0.2936
0.8634 0.8634 0.7064
0.9517 0.9517 0.2579
0.6653 0.6653 0.5153
0.3347 0.3347 0.4847
0.0483 0.0483 0.7421
0.7749 0.7749 0.8843
0.2251 0.2251 0.1157
0.4135 0.4135 0.0470
0.5865 0.5865 0.9530



Last place for stability: Q



--- P ---
ScIrNO, optimized geometry, DFT PBE-GGA; theoretical density = 8.1 g/cm³
1.0
3.6301 0.0000 0.0000
0.0000 5.0238 0.0000
0.0000 0.0000 5.9743
O Ir N Sc
2 2 2 2
direct
0.5000 0.9116 0.8663
0.5000 0.4116 0.1337
0.0000 0.4811 0.4107
0.0000 0.9811 0.5893
0.0000 0.8392 0.2910
0.0000 0.3392 0.7090
0.5000 0.5222 0.8077
0.5000 0.0222 0.1923



--- Q ---
ScIrNO, optimized geometry, DFT PBE-GGA; theoretical density = 10.0 g/cm³
1.0
-1.5997 -0.9952 -4.1632
-2.5088 -3.3831 1.7728
-3.2200 2.6983 0.5923
N Ir Sc O
2 2 2 2
direct
0.5000 0.0000 0.4838
0.0000 0.5000 0.5162
0.0000 0.5000 0.0174
0.5000 0.0000 0.9826
0.0000 0.0000 0.5000
0.5000 0.5000 0.5000
0.0000 0.0000 0.0000
0.5000 0.5000 0.0000



Last place for stability: Q